Entry 1:
A geometry-optimized MgTcBr structure, computed with PBE-GGA.

Calculated values
Distance to the lowest polymorph of the same formula   51.4 meV/atom
E_tot   -12.51 eV per formula unit
Density   5.73 Mg/m³
Formation energy (no corrections)   373.6 meV/atom

The structure in POSCAR format:
```
MgTcBr
1.0
3.1409 0.0000 0.0000
0.0000 3.1409 0.0000
0.0000 0.0000 11.8749
Mg Tc Br
2 2 2
Cartesian
0.0000 0.0000 0.0000
1.5705 1.5705 5.9374
0.0000 0.0000 7.6936
1.5705 1.5705 1.7562
0.0000 0.0000 3.2200
1.5705 1.5705 9.1574
```

---

Entry 2:
A geometry-optimized Li3PuBr6 structure, computed with PBE-GGA.

Calculated values
Distance to the lowest polymorph of the same formula   37.3 meV/atom
E_tot   -44.26 eV per formula unit
Density   4.33 Mg/m³
Formation energy (no corrections)   -1415.1 meV/atom

The structure in POSCAR format:
```
Li3PuBr6
1.0
4.5363 -6.9091 0.0000
4.5363 6.9091 0.0000
0.0000 0.0000 4.5559
Li Pu Br
3 1 6
Cartesian
0.0000 0.0000 0.0000
2.2681 3.4546 2.2779
2.2681 -3.4546 2.2779
4.5363 0.0000 0.0000
1.8966 1.7201 0.0000
1.8966 -1.7201 0.0000
4.5363 1.9289 2.2779
4.5363 -1.9289 2.2779
7.1759 1.7201 0.0000
7.1759 -1.7201 0.0000
```

---

Entry 3:
A geometry-optimized BSeF structure, computed with PBE-GGA.

Calculated values
Distance to the lowest polymorph of the same formula   0.0 meV/atom
E_tot   -15.95 eV per formula unit
Density   3.45 Mg/m³
Formation energy (no corrections)   -1304.1 meV/atom

The structure in POSCAR format:
```
BSeF
1.0
3.3053 0.0000 0.0000
-1.6526 2.8624 0.0000
0.0000 0.0000 5.5336
B Se F
1 1 1
Cartesian
0.0000 0.0000 0.0000
0.0000 1.9083 0.9292
0.0000 0.0000 4.1801
```

---

Entry 4:
A geometry-optimized TlMoW2 structure, computed with PBE-GGA.

Calculated values
Distance to the lowest polymorph of the same formula   123.1 meV/atom
E_tot   -36.60 eV per formula unit
Energy of formation from the pure elements   626 meV per atom
Density   15.34 Mg/m³

The structure in POSCAR format:
```
TlMoW2
1.0
3.0508 0.0000 0.0000
0.0000 3.9790 0.0000
0.0000 0.0000 5.9569
Tl Mo W
1 1 2
Cartesian
0.0000 0.0000 0.0000
1.5254 1.9895 4.2399
0.0000 0.0000 2.9878
1.5254 1.9895 1.7699
```

---

Entry 5:
A geometry-optimized NaLi4Er structure, computed with PBE-GGA.

Calculated values
E_tot   -12.49 eV per formula unit
Energy of formation from the pure elements   175 meV per atom
Density   2.50 Mg/m³

The structure in POSCAR format:
```
NaLi4Er
1.0
0.0000 4.1665 4.1665
4.1665 0.0000 4.1665
4.1665 4.1665 0.0000
Na Li Er
1 4 1
Cartesian
0.0000 0.0000 0.0000
3.1283 3.1283 3.1283
5.2047 5.2047 3.1283
5.2047 3.1283 5.2047
3.1283 5.2047 5.2047
6.2497 6.2497 6.2497
```

---

Entry 6:
A geometry-optimized Mg2CuBr structure, computed with PBE-GGA.

Calculated values
Distance to the lowest polymorph of the same formula   155.5 meV/atom
E_tot   -9.71 eV per formula unit
Density   3.07 Mg/m³
Formation energy (no corrections)   -187.2 meV/atom

The structure in POSCAR format:
```
Mg2CuBr
1.0
3.6232 0.0000 0.0000
0.0000 3.6090 0.0000
-1.1746 0.0000 7.9384
Mg Cu Br
2 1 1
Cartesian
0.0000 0.0000 0.0000
0.6860 1.8045 5.5759
1.8101 1.8045 0.1574
2.5545 0.0000 4.2380
```

---

Entry 7:
A geometry-optimized CdNiOs2Ru structure, computed with PBE-GGA.

Calculated values
E_tot   -28.16 eV per formula unit
Energy of formation from the pure elements   2054 meV per atom
Density   10.05 Mg/m³

The structure in POSCAR format:
```
CdNiOs2Ru
1.0
4.6356 0.0000 0.0000
0.0000 4.6356 0.0000
0.0000 0.0000 5.0173
Cd Ni Os Ru
1 1 2 1
Cartesian
0.0000 0.0000 0.0000
2.3178 2.3178 0.0000
0.0000 2.3178 2.5086
2.3178 0.0000 2.5086
0.0000 0.0000 2.5086
```

---

Entry 8:
A geometry-optimized Mg4Ga5Ni2 structure, computed with PBE-GGA.

Calculated values
E_tot   -35.09 eV per formula unit
Energy of formation from the pure elements   -183 meV per atom
Density   4.93 Mg/m³

The structure in POSCAR format:
```
Mg4Ga5Ni2
1.0
6.6750 0.0000 0.0000
0.0000 3.1887 0.0000
-0.5099 0.0000 8.9099
Mg Ga Ni
4 5 2
Cartesian
0.9309 0.0000 3.3276
1.1103 0.0000 8.4718
5.0548 0.0000 0.4382
5.2342 0.0000 5.5824
0.9187 1.5943 5.9652
2.7821 1.5943 1.6990
3.0826 1.5943 4.4550
3.3830 1.5943 7.2109
5.2464 1.5943 2.9447
0.3502 1.5943 1.2649
5.8149 1.5943 7.6451
```

---

Computed DOS at the Fermi energy, in the same sequence as the records: 0.37 0.93 0.00 0.75 0.61 0.23 1.49 0.34 states/eV per atom.